Entry 1:
Density functional theory data (PBE) for an optimized crystal structure of NdIn2Ag.

Values from the calculation:
ΔE_f: -0.312 eV/atom
Calculated volume: 25.7 Å³/atom
Raw total energy: -3.5862 eV/atom
N(E_F): 6.50 states/eV/cell

abc: 4.7474 4.7474 15.8234
angles: 90.00 90.00 120.00
Space group R-3m (No. 166, hexagonal axes)
Asymmetric unit:
Nd 0.0000 0.0000 0.0000 [3 per cell]
In 0.0000 0.0000 0.2231 [6 per cell]
Ag 0.0000 0.0000 0.5000 [3 per cell]

Entry 2:
Density functional theory data (PBE) for an optimized crystal structure of GaTc2Pt.

Values from the calculation:
ΔE_f: 1.190 eV/atom
Calculated volume: 22.0 Å³/atom
Raw total energy: -6.2601 eV/atom
N(E_F): 17.68 states/eV/cell

abc: 5.915 5.915 10.039
angles: 90.00 90.00 90.00
Space group I-42d (No. 122)
Asymmetric unit:
Ga 0.000 0.000 0.000 [4 per cell]
Tc 0.242 0.250 0.625 [8 per cell]
Pt 0.000 0.000 0.500 [4 per cell]

Entry 3:
Density functional theory data (PBE) for an optimized crystal structure of Pr3HoGa3.

Values from the calculation:
ΔE_f: -0.352 eV/atom
Calculated volume: 27.0 Å³/atom
Raw total energy: -4.3512 eV/atom
N(E_F): 13.54 states/eV/cell

abc: 9.4652 9.4652 4.8646
angles: 90.00 90.00 120.00
Space group P6_3/m (No. 176)
Asymmetric unit:
Pr 0.0187 0.2614 0.2500 [6 per cell]
Ho 0.3333 0.6667 0.7500 [2 per cell]
Ga 0.0618 0.6052 0.2500 [6 per cell]

Entry 4:
Density functional theory data (PBE) for an optimized crystal structure of MgMnSbAs2.

Values from the calculation:
Calculated volume: 23.0 Å³/atom
E_form (uncorrected): 1.1810 eV per atom
Raw total energy: -3.6561 eV/atom
N(E_F): 5.52 states/eV/cell

abc: 4.883 4.883 4.834
angles: 90.00 90.00 90.00
Space group P4/mmm (No. 123)
Asymmetric unit:
Mg 0.000 0.000 0.000 [1 per cell]
Mn 0.000 0.000 0.500 [1 per cell]
Sb 0.500 0.500 0.500 [1 per cell]
As 0.000 0.500 0.000 [2 per cell]

Entry 5:
Density functional theory data (PBE) for an optimized crystal structure of Pm2SbS.

Values from the calculation:
Calculated volume: 25.6 Å³/atom
E_form (uncorrected): -1.2100 eV per atom
Raw total energy: -5.6478 eV/atom
Offset from the most stable computed form: 0.360 eV/atom
N(E_F): 3.70 states/eV/cell

abc: 5.337 5.337 3.594
angles: 90.00 90.00 90.00
Space group P4/mmm (No. 123)
Asymmetric unit:
Pm 0.000 0.500 0.000 [2 per cell]
Sb 0.000 0.000 0.500 [1 per cell]
S 0.500 0.500 0.500 [1 per cell]

Entry 6:
Density functional theory data (PBE) for an optimized crystal structure of Co3ReSe.

Values from the calculation:
Calculated volume: 15.5 Å³/atom
E_form (uncorrected): 1.2101 eV per atom
Raw total energy: -6.2399 eV/atom
Offset from the most stable computed form: 0.000 eV/atom
N(E_F): 8.09 states/eV/cell

abc: 4.262 4.262 4.262
angles: 90.00 90.00 90.00
Space group Pm-3m (No. 221)
Asymmetric unit:
Co 0.000 0.000 0.500 [3 per cell]
Re 0.500 0.500 0.500 [1 per cell]
Se 0.000 0.000 0.000 [1 per cell]

Entry 7:
Density functional theory data (PBE) for an optimized crystal structure of KAs2Se.

Values from the calculation:
Calculated volume: 24.9 Å³/atom
E_form (uncorrected): 0.1072 eV per atom
Raw total energy: -3.3631 eV/atom
N(E_F): 1.56 states/eV/cell

abc: 2.947 5.367 6.305
angles: 90.00 90.00 90.00
Space group Pmmm (No. 47)
Asymmetric unit:
K 0.000 0.000 0.000 [1 per cell]
As 0.500 0.500 0.309 [2 per cell]
Se 0.000 0.000 0.500 [1 per cell]

Entry 8:
Density functional theory data (PBE) for an optimized crystal structure of Nd2Al3Re.

Values from the calculation:
ΔE_f: -0.318 eV/atom
Calculated volume: 20.7 Å³/atom
Raw total energy: -5.8534 eV/atom
N(E_F): 12.98 states/eV/cell

abc: 5.6730 5.6730 13.3419
angles: 90.00 90.00 120.00
Space group R-3m (No. 166, hexagonal axes)
Asymmetric unit:
Nd 0.0000 0.0000 0.1276 [6 per cell]
Al 0.0000 0.5000 0.0000 [9 per cell]
Re 0.0000 0.0000 0.5000 [3 per cell]

Entry 9:
Density functional theory data (PBE) for an optimized crystal structure of ScBeMo2.

Values from the calculation:
ΔE_f: 0.261 eV/atom
Calculated volume: 15.6 Å³/atom
Raw total energy: -7.6693 eV/atom
N(E_F): 6.59 states/eV/cell

abc: 5.383 9.034 2.702
angles: 90.00 107.79 90.00
Space group C2/m (No. 12)
Asymmetric unit:
Sc 0.000 0.000 0.000 [2 per cell]
Be 0.000 0.500 0.000 [2 per cell]
Mo 0.250 0.250 0.500 [4 per cell]

Entry 10:
Density functional theory data (PBE) for an optimized crystal structure of Tb2InSn4.

Values from the calculation:
ΔE_f: -0.418 eV/atom
Calculated volume: 28.0 Å³/atom
Raw total energy: -4.4197 eV/atom
Offset from the most stable computed form: 0.000 eV/atom
N(E_F): 7.16 states/eV/cell

abc: 9.143 9.214 6.500
angles: 90.00 134.34 90.00
Space group C2/m (No. 12)
Asymmetric unit:
Tb 0.250 0.250 0.000 [4 per cell]
In 0.000 0.000 0.500 [2 per cell]
Sn 0.000 0.000 0.000 [2 per cell]
Sn 0.000 0.500 0.000 [2 per cell]
Sn 0.250 0.250 0.500 [4 per cell]

Entry 11:
Density functional theory data (PBE) for an optimized crystal structure of KTlS2.

Values from the calculation:
Calculated volume: 42.6 Å³/atom
E_form (uncorrected): -0.4287 eV per atom
Raw total energy: -3.3584 eV/atom
Offset from the most stable computed form: 0.201 eV/atom
N(E_F): 0.00 states/eV/cell

abc: 5.1014 5.1014 22.6749
angles: 90.00 90.00 120.00
Space group R-3m (No. 166, hexagonal axes)
Asymmetric unit:
K 0.0000 0.0000 0.0000 [3 per cell]
Tl 0.0000 0.0000 0.5000 [3 per cell]
S 0.0000 0.0000 0.3985 [6 per cell]

Entry 12:
Density functional theory data (PBE) for an optimized crystal structure of Ca2Si3HgPt4.

Values from the calculation:
Calculated volume: 19.0 Å³/atom
E_form (uncorrected): -0.7821 eV per atom
Raw total energy: -5.2558 eV/atom
N(E_F): 4.48 states/eV/cell

abc: 4.280 4.280 10.383
angles: 90.00 90.00 90.00
Space group P-4m2 (No. 115)
Asymmetric unit:
Ca 0.000 0.500 0.249 [2 per cell]
Si 0.000 0.500 0.882 [2 per cell]
Si 0.500 0.500 0.500 [1 per cell]
Hg 0.000 0.000 0.500 [1 per cell]
Pt 0.000 0.000 0.000 [1 per cell]
Pt 0.000 0.500 0.659 [2 per cell]
Pt 0.500 0.500 0.000 [1 per cell]

Entry 13:
Density functional theory data (PBE) for an optimized crystal structure of Na7HgAu4.

Values from the calculation:
ΔE_f: -0.205 eV/atom
Calculated volume: 26.5 Å³/atom
Raw total energy: -2.0923 eV/atom
N(E_F): 7.62 states/eV/cell

abc: 13.690 5.467 10.442
angles: 90.00 125.39 90.00
Space group C2/m (No. 12)
Asymmetric unit:
Na 0.000 0.000 0.000 [2 per cell]
Na 0.073 0.500 0.361 [4 per cell]
Na 0.180 0.000 0.620 [4 per cell]
Na 0.216 0.500 0.878 [4 per cell]
Hg 0.000 0.500 0.000 [2 per cell]
Au 0.058 0.000 0.773 [4 per cell]
Au 0.188 0.000 0.335 [4 per cell]